## FeCoSi (PBE)

Data for a relaxed FeCoSi crystal.

a = 4.7610 Å, b = 4.7610 Å, c = 4.7610 Å
α = 146.47°, β = 146.47°, γ = 48.15°
Last column: nearest neighbours and their distance in Å.
Atoms (fractional coordinates):
Fe (0.0000, 0.0000, 0.0000)  4 Si 2.41, 4 Co 2.51
Co (0.6835, 0.6835, 0.0000)  4 Si 2.35, 4 Fe 2.51
Si (0.3367, 0.3367, 0.0000)  4 Co 2.35, 4 Fe 2.41

Output
Energy relative to the elements, uncorrected ... -0.3002 eV per atom
Calculated volume ... 32.8 Å³ per cell
DOS at the Fermi energy ... 0.6821 states/eV/atom
Total energy ... -21.89 eV/f.u.

***

## Fe2CoSi2 (PBE)

Data for a relaxed Fe2CoSi2 crystal.

a = 6.5292 Å, b = 6.5292 Å, c = 2.6306 Å
α = 90.00°, β = 90.00°, γ = 90.00°
Last column: nearest neighbours and their distance in Å.
Atoms (fractional coordinates):
Fe (0.1524, 0.3476, 0.0000)  6 Si 2.28-2.35
Fe (0.3476, 0.8476, 0.0000)  6 Si 2.28-2.35
Fe (0.6524, 0.1524, 0.0000)  6 Si 2.28-2.35
Fe (0.8476, 0.6524, 0.0000)  6 Si 2.28-2.35
Co (0.0000, 0.0000, 0.5000)  4 Si 2.50, 2 Co 2.63
Co (0.5000, 0.5000, 0.5000)  4 Si 2.50, 2 Co 2.63
Si (0.1455, 0.6455, 0.5000)  6 Fe 2.28-2.35, 2 Co 2.50
Si (0.3545, 0.1455, 0.5000)  6 Fe 2.28-2.35, 2 Co 2.50
Si (0.6455, 0.8545, 0.5000)  6 Fe 2.28-2.35, 2 Co 2.50
Si (0.8545, 0.3545, 0.5000)  6 Fe 2.28-2.35, 2 Co 2.50

Output
Energy relative to the elements, uncorrected ... -0.2736 eV per atom
ΔE to the lowest computed polymorph ... 0.000 eV per atom
Calculated volume ... 112.1 Å³ per cell
DOS at the Fermi energy ... 1.1040 states/eV/atom
Total energy ... -36.25 eV/f.u.

***

## FeCo3Si (PBE)

Data for a relaxed FeCo3Si crystal.

a = 4.2115 Å, b = 4.2115 Å, c = 4.2115 Å
α = 90.00°, β = 90.00°, γ = 90.00°
Last column: nearest neighbours and their distance in Å.
Atoms (fractional coordinates):
Fe (0.0000, 0.0000, 0.0000)  6 Co 2.11
Co (0.0000, 0.0000, 0.5000)  2 Fe 2.11
Co (0.0000, 0.5000, 0.0000)  2 Fe 2.11
Co (0.5000, 0.0000, 0.0000)  2 Fe 2.11
Si (0.5000, 0.5000, 0.5000)  12 Co 2.98

Output
Energy relative to the elements, uncorrected ... 1.1876 eV per atom
ΔE to the lowest computed polymorph ... 0.518 eV per atom
Calculated volume ... 74.7 Å³ per cell
DOS at the Fermi energy ... 1.1499 states/eV/atom
Total energy ... -29.27 eV/f.u.

***

## FeCo2Si2 (PBE)

Data for a relaxed FeCo2Si2 crystal.

a = 6.6023 Å, b = 6.6023 Å, c = 2.5742 Å
α = 90.00°, β = 90.00°, γ = 90.00°
Last column: nearest neighbours and their distance in Å.
Atoms (fractional coordinates):
Fe (0.0000, 0.0000, 0.0000)  4 Si 2.51, 2 Fe 2.57
Fe (0.5000, 0.5000, 0.0000)  4 Si 2.51, 2 Fe 2.57
Co (0.1456, 0.3544, 0.5000)  6 Si 2.29-2.35
Co (0.3544, 0.8544, 0.5000)  6 Si 2.29-2.35
Co (0.6456, 0.1456, 0.5000)  6 Si 2.29-2.35
Co (0.8544, 0.6456, 0.5000)  6 Si 2.29-2.35
Si (0.1514, 0.6514, 0.0000)  6 Co 2.29-2.35, 2 Fe 2.51
Si (0.3486, 0.1514, 0.0000)  6 Co 2.29-2.35, 2 Fe 2.51
Si (0.6514, 0.8486, 0.0000)  6 Co 2.29-2.35, 2 Fe 2.51
Si (0.8486, 0.3486, 0.0000)  6 Co 2.29-2.35, 2 Fe 2.51

Output
Energy relative to the elements, uncorrected ... -0.4184 eV per atom
Calculated volume ... 112.2 Å³ per cell
DOS at the Fermi energy ... 0.7548 states/eV/atom
Total energy ... -35.61 eV/f.u.